Entry 1:
SrPdAu3: optimized geometry, GGA-PBE.

Structure (CIF):
```
data_SrPdAu3
_symmetry_space_group_name_H-M 'P m -3 m'
_symmetry_Int_Tables_number 221
_symmetry_space_group_name_Hall '-P 4 2 3'
_cell_length_a 5.118
_cell_length_b 5.118
_cell_length_c 5.118
_cell_angle_alpha 90.00
_cell_angle_beta 90.00
_cell_angle_gamma 90.00
loop_
_atom_site_label
_atom_site_fract_x
_atom_site_fract_y
_atom_site_fract_z
Sr1 0.000 0.000 0.000
Pd1 0.500 0.500 0.500
Au1 0.000 0.500 0.500
```

Computed properties:
- DFT total energy: -3.5412 eV per atom
- Energy of formation: -199.9 meV per atom
- Offset from the most stable computed form: 28.4 kJ per mole of atoms
- Crystal system: cubic

***

Entry 2:
Sr4PdAu2: optimized geometry, GGA-PBE.

Structure (CIF):
```
data_Sr4PdAu2
_symmetry_space_group_name_H-M 'I 4/m m m'
_symmetry_Int_Tables_number 139
_symmetry_space_group_name_Hall '-I 4 2'
_cell_length_a 5.489
_cell_length_b 5.489
_cell_length_c 18.284
_cell_angle_alpha 90.00
_cell_angle_beta 90.00
_cell_angle_gamma 90.00
loop_
_atom_site_label
_atom_site_fract_x
_atom_site_fract_y
_atom_site_fract_z
Sr1 0.000 0.000 0.184
Sr2 0.000 0.500 0.000
Pd1 0.000 0.000 0.500
Au1 0.000 0.000 0.353
```

Computed properties:
- DFT total energy: -2.9292 eV per atom
- Energy of formation: -289.9 meV per atom
- Offset from the most stable computed form: 33.4 kJ per mole of atoms
- Crystal system: tetragonal

***

Entry 3:
Sr2PdAu: optimized geometry, GGA-PBE.

Structure (CIF):
```
data_Sr2PdAu
_symmetry_space_group_name_H-M 'I -4 2 d'
_symmetry_Int_Tables_number 122
_symmetry_space_group_name_Hall 'I -4 2bw'
_cell_length_a 8.168
_cell_length_b 8.168
_cell_length_c 7.469
_cell_angle_alpha 90.00
_cell_angle_beta 90.00
_cell_angle_gamma 90.00
loop_
_atom_site_label
_atom_site_fract_x
_atom_site_fract_y
_atom_site_fract_z
Sr1 0.237 0.750 0.125
Pd1 0.000 0.000 0.000
Au1 0.000 0.000 0.500
```

Computed properties:
- DFT total energy: -3.3424 eV per atom
- Energy of formation: -383.9 meV per atom
- Crystal system: tetragonal

***

Entry 4:
Sr6PdAu2: optimized geometry, GGA-PBE.

Structure (CIF):
```
data_Sr6PdAu2
_symmetry_space_group_name_H-M 'P 1 21/c 1'
_symmetry_Int_Tables_number 14
_symmetry_space_group_name_Hall '-P 2ybc'
_cell_length_a 7.731
_cell_length_b 7.247
_cell_length_c 15.378
_cell_angle_alpha 90.00
_cell_angle_beta 120.18
_cell_angle_gamma 90.00
loop_
_atom_site_label
_atom_site_fract_x
_atom_site_fract_y
_atom_site_fract_z
Sr1 0.004 0.241 0.339
Sr2 0.325 0.243 0.661
Sr3 0.330 0.732 0.000
Pd1 0.000 0.000 0.500
Au1 0.324 0.501 0.824
```

Computed properties:
- DFT total energy: -2.9466 eV per atom
- Energy of formation: -520.1 meV per atom
- Crystal system: monoclinic

***

Entry 5:
Sr3Pd2Au9: optimized geometry, GGA-PBE.

Structure (CIF):
```
data_Sr3Pd2Au9
_symmetry_space_group_name_H-M 'I m m m'
_symmetry_Int_Tables_number 71
_symmetry_space_group_name_Hall '-I 2 2'
_cell_length_a 4.576
_cell_length_b 10.186
_cell_length_c 13.439
_cell_angle_alpha 90.00
_cell_angle_beta 90.00
_cell_angle_gamma 90.00
loop_
_atom_site_label
_atom_site_fract_x
_atom_site_fract_y
_atom_site_fract_z
Sr1 0.000 0.000 0.000
Sr2 0.000 0.000 0.306
Pd1 0.000 0.181 0.500
Au1 0.000 0.278 0.121
Au2 0.000 0.365 0.336
Au3 0.000 0.500 0.000
```

Computed properties:
- DFT total energy: -3.7401 eV per atom
- Energy of formation: -531.0 meV per atom
- Crystal system: orthorhombic

***

Entry 6:
Sr3Pd2Au3: optimized geometry, GGA-PBE.

Structure (CIF):
```
data_Sr3Pd2Au3
_symmetry_space_group_name_H-M 'C m c m'
_symmetry_Int_Tables_number 63
_symmetry_space_group_name_Hall '-C 2c 2'
_cell_length_a 4.520
_cell_length_b 11.402
_cell_length_c 16.507
_cell_angle_alpha 90.00
_cell_angle_beta 90.00
_cell_angle_gamma 90.00
loop_
_atom_site_label
_atom_site_fract_x
_atom_site_fract_y
_atom_site_fract_z
Sr1 0.000 0.112 0.250
Sr2 0.000 0.382 0.090
Pd1 0.000 0.316 0.619
Au1 0.000 0.093 0.054
Au2 0.000 0.169 0.750
```

Computed properties:
- DFT total energy: -3.8430 eV per atom
- Energy of formation: -685.1 meV per atom
- Offset from the most stable computed form: 0.0 kJ per mole of atoms
- Crystal system: orthorhombic

***

Entry 7:
Sr6PdAu3: optimized geometry, GGA-PBE.

Structure (CIF):
```
data_Sr6PdAu3
_symmetry_space_group_name_H-M 'P 1 21/m 1'
_symmetry_Int_Tables_number 11
_symmetry_space_group_name_Hall '-P 2yb'
_cell_length_a 11.813
_cell_length_b 4.469
_cell_length_c 14.103
_cell_angle_alpha 90.00
_cell_angle_beta 111.18
_cell_angle_gamma 90.00
loop_
_atom_site_label
_atom_site_fract_x
_atom_site_fract_y
_atom_site_fract_z
Sr1 0.020 0.250 0.388
Sr2 0.069 0.250 0.907
Sr3 0.255 0.750 0.325
Sr4 0.342 0.750 0.797
Sr5 0.349 0.750 0.105
Sr6 0.401 0.250 0.580
Pd1 0.420 0.250 0.284
Au1 0.153 0.250 0.153
Au2 0.195 0.750 0.531
Au3 0.408 0.250 0.967
```

Computed properties:
- DFT total energy: -3.0968 eV per atom
- Energy of formation: -585.2 meV per atom
- Crystal system: monoclinic

***

Entry 8:
SrPd4Au: optimized geometry, GGA-PBE.

Structure (CIF):
```
data_SrPd4Au
_symmetry_space_group_name_H-M 'P m m a'
_symmetry_Int_Tables_number 51
_symmetry_space_group_name_Hall '-P 2a 2a'
_cell_length_a 7.859
_cell_length_b 4.235
_cell_length_c 7.116
_cell_angle_alpha 90.00
_cell_angle_beta 90.00
_cell_angle_gamma 90.00
loop_
_atom_site_label
_atom_site_fract_x
_atom_site_fract_y
_atom_site_fract_z
Sr1 0.250 0.000 0.157
Pd1 0.000 0.000 0.500
Pd2 0.038 0.500 0.797
Pd3 0.250 0.500 0.471
Au1 0.250 0.000 0.748
```

Computed properties:
- DFT total energy: -4.5091 eV per atom
- Energy of formation: -220.7 meV per atom
- Offset from the most stable computed form: 9.4 kJ per mole of atoms
- Crystal system: orthorhombic

***

Entry 9:
SrPdAu6: optimized geometry, GGA-PBE.

Structure (CIF):
```
data_SrPdAu6
_symmetry_space_group_name_H-M 'P m -3'
_symmetry_Int_Tables_number 200
_symmetry_space_group_name_Hall '-P 2 2 3'
_cell_length_a 5.441
_cell_length_b 5.441
_cell_length_c 5.441
_cell_angle_alpha 90.00
_cell_angle_beta 90.00
_cell_angle_gamma 90.00
loop_
_atom_site_label
_atom_site_fract_x
_atom_site_fract_y
_atom_site_fract_z
Sr1 0.000 0.000 0.000
Pd1 0.500 0.500 0.500
Au1 0.000 0.255 0.500
```

Computed properties:
- DFT total energy: -3.4451 eV per atom
- Energy of formation: -127.7 meV per atom
- Crystal system: cubic

***

Entry 10:
Sr2Pd2Au15: optimized geometry, GGA-PBE.

Structure (CIF):
```
data_Sr2Pd2Au15
_symmetry_space_group_name_H-M 'R -3 m'
_symmetry_Int_Tables_number 166
_symmetry_space_group_name_Hall '-R 3 2"'
_cell_length_a 9.6942
_cell_length_b 9.6942
_cell_length_c 14.1489
_cell_angle_alpha 90.00
_cell_angle_beta 90.00
_cell_angle_gamma 120.00
loop_
_atom_site_label
_atom_site_fract_x
_atom_site_fract_y
_atom_site_fract_z
Sr1 0.0000 0.0000 0.1673
Pd1 0.0000 0.0000 0.4020
Au1 0.0000 0.3005 0.5000
Au2 0.0000 0.5000 0.0000
Au3 0.0028 0.5014 0.6516
```

Computed properties:
- DFT total energy: -3.5972 eV per atom
- Energy of formation: -286.2 meV per atom
- Crystal system: trigonal

***

Entry 11:
Sr2Pd2Au: optimized geometry, GGA-PBE.

Structure (CIF):
```
data_Sr2Pd2Au
_symmetry_space_group_name_H-M 'I 4/m m m'
_symmetry_Int_Tables_number 139
_symmetry_space_group_name_Hall '-I 4 2'
_cell_length_a 5.829
_cell_length_b 5.829
_cell_length_c 8.060
_cell_angle_alpha 90.00
_cell_angle_beta 90.00
_cell_angle_gamma 90.00
loop_
_atom_site_label
_atom_site_fract_x
_atom_site_fract_y
_atom_site_fract_z
Sr1 0.000 0.500 0.250
Pd1 0.000 0.000 0.162
Au1 0.000 0.000 0.500
```

Computed properties:
- DFT total energy: -3.9085 eV per atom
- Energy of formation: -503.2 meV per atom
- Offset from the most stable computed form: 17.6 kJ per mole of atoms
- Crystal system: tetragonal

***

Entry 12:
SrTbPdAu: optimized geometry, GGA-PBE.

Structure (CIF):
```
data_SrTbPdAu
_symmetry_space_group_name_H-M 'F -4 3 m'
_symmetry_Int_Tables_number 216
_symmetry_space_group_name_Hall 'F -4 2 3'
_cell_length_a 7.322
_cell_length_b 7.322
_cell_length_c 7.322
_cell_angle_alpha 90.00
_cell_angle_beta 90.00
_cell_angle_gamma 90.00
loop_
_atom_site_label
_atom_site_fract_x
_atom_site_fract_y
_atom_site_fract_z
Sr1 0.000 0.000 0.000
Tb1 0.000 0.000 0.500
Pd1 0.250 0.250 0.250
Au1 0.250 0.250 0.750
```

Computed properties:
- DFT total energy: -4.3702 eV per atom
- Energy of formation: -674.7 meV per atom
- Crystal system: cubic